1) ## Ti2CuSi4 (GGA-PBE)

Data for crystalline Ti2CuSi4 at its relaxed geometry.

POSCAR file:
```
Ti2CuSi4
1.0
-3.269 1.429 0.176
-1.122 -2.803 1.910
2.088 3.917 6.976
Cu Si Ti
1 4 2
direct
0.500 0.500 0.000
0.000 0.500 0.819
0.000 0.000 0.500
0.500 0.000 0.181
0.500 0.500 0.500
0.000 0.500 0.259
0.500 0.000 0.741
```

2) ## Ti2CuSi4 (GGA-PBE)

Data for crystalline Ti2CuSi4 at its relaxed geometry.

POSCAR file:
```
Ti2CuSi4
1.0
4.511 0.000 0.000
0.000 4.511 0.000
2.256 2.256 6.174
Ti Si Cu
2 4 1
direct
0.611 0.611 0.779
0.389 0.389 0.221
0.000 0.500 0.000
0.184 0.184 0.632
0.816 0.816 0.368
0.500 0.000 0.000
0.000 0.000 0.000
```

Most stable structure: 1)

1) ## TlCu2Si (GGA-PBE)

Data for crystalline TlCu2Si at its relaxed geometry.

POSCAR file:
```
TlCu2Si
1.0
4.557 0.000 0.000
2.279 3.947 0.000
2.279 1.316 3.721
Cu Tl Si
2 1 1
direct
0.250 0.250 0.250
0.750 0.750 0.750
0.500 0.500 0.500
0.000 0.000 0.000
```

2) ## TlCu2Si (GGA-PBE)

Data for crystalline TlCu2Si at its relaxed geometry.

POSCAR file:
```
TlCu2Si
1.0
-0.801 -3.737 -1.474
1.866 0.916 -3.529
3.541 -1.647 0.867
Si Cu Tl
1 2 1
direct
0.500 0.000 0.500
0.000 0.000 0.000
0.500 0.500 0.000
0.000 0.500 0.500
```

3) ## TlCu2Si (GGA-PBE)

Data for crystalline TlCu2Si at its relaxed geometry.

POSCAR file:
```
TlCu2Si
1.0
-2.562 -0.014 -3.805
-4.574 -0.143 0.315
-2.491 3.691 -1.101
Cu Tl Si
2 1 1
direct
0.250 0.250 0.250
0.000 0.000 0.000
0.750 0.750 0.750
0.500 0.500 0.500
```

Most stable structure: 2)

1) ## TlCu2Si2 (GGA-PBE)

Data for crystalline TlCu2Si2 at its relaxed geometry.

POSCAR file:
```
TlCu2Si2
1.0
-1.622 3.723 0.345
-0.758 -0.696 3.943
3.421 3.410 3.365
Si Cu Tl
2 2 1
direct
0.620 0.620 0.760
0.380 0.380 0.240
0.250 0.750 0.500
0.750 0.250 0.500
0.000 0.000 0.000
```

2) ## TlCu2Si2 (GGA-PBE)

Data for crystalline TlCu2Si2 at its relaxed geometry.

POSCAR file:
```
TlCu2Si2
1.0
-0.036 -3.777 -0.108
0.506 -0.112 3.743
-5.559 -1.911 2.602
Tl Cu Si
1 2 2
direct
0.000 0.000 0.000
0.615 0.615 0.769
0.385 0.385 0.231
0.750 0.250 0.500
0.250 0.750 0.500
```

3) ## TlCu2Si2 (GGA-PBE)

Data for crystalline TlCu2Si2 at its relaxed geometry.

POSCAR file:
```
TlCu2Si2
1.0
7.817 0.000 0.000
0.000 7.817 0.000
0.000 0.000 2.733
Cu Tl Si
4 2 4
direct
0.845 0.345 0.500
0.155 0.655 0.500
0.345 0.155 0.500
0.655 0.845 0.500
0.500 0.500 0.000
0.000 0.000 0.000
0.875 0.625 0.000
0.625 0.125 0.000
0.125 0.375 0.000
0.375 0.875 0.000
```

Most stable structure: 1)

1) ## YTmCuSi (GGA-PBE)

Data for crystalline YTmCuSi at its relaxed geometry.

POSCAR file:
```
YTmCuSi
1.0
4.037 0.000 0.000
0.000 4.062 0.000
-2.019 0.000 5.312
Tm Y Si Cu
1 1 1 1
direct
0.863 0.500 0.725
0.143 0.000 0.285
0.428 0.000 0.856
0.567 0.500 0.134
```

2) ## YTmCuSi (GGA-PBE)

Data for crystalline YTmCuSi at its relaxed geometry.

POSCAR file:
```
YTmCuSi
1.0
4.901 0.000 0.000
2.450 4.244 0.000
2.450 1.415 4.001
Si Cu Tm Y
1 1 1 1
direct
0.750 0.750 0.750
0.250 0.250 0.250
0.000 0.000 0.000
0.500 0.500 0.500
```

Most stable structure: 1)

1) ## V3CuSi (GGA-PBE)

Data for crystalline V3CuSi at its relaxed geometry.

POSCAR file:
```
V3CuSi
1.0
4.380 0.000 0.000
0.000 4.380 0.000
0.000 0.000 4.380
V Si Cu
3 1 1
direct
0.500 0.000 0.000
0.000 0.500 0.000
0.000 0.000 0.500
0.000 0.000 0.000
0.500 0.500 0.500
```

2) ## V3CuSi (GGA-PBE)

Data for crystalline V3CuSi at its relaxed geometry.

POSCAR file:
```
V3CuSi
1.0
-3.612 -2.405 0.048
0.121 -0.095 4.336
-2.402 3.611 0.146
V Si Cu
3 1 1
direct
0.000 0.500 0.000
0.000 0.000 0.500
0.500 0.000 0.000
0.500 0.500 0.500
0.000 0.000 0.000
```

Most stable structure: 1)

1) ## CuSi2W (GGA-PBE)

Data for crystalline CuSi2W at its relaxed geometry.

POSCAR file:
```
CuSi2W
1.0
4.522 -0.032 0.000
-0.851 4.441 0.000
0.000 0.000 2.734
Cu Si W
1 2 1
direct
0.000 0.500 0.500
0.000 0.000 0.000
0.500 0.500 0.000
0.500 0.000 0.500
```

2) ## CuSi2W (GGA-PBE)

Data for crystalline CuSi2W at its relaxed geometry.

POSCAR file:
```
CuSi2W
1.0
-7.860 0.793 1.574
-7.879 -1.670 0.082
-7.317 -1.701 2.906
Cu Si W
1 2 1
direct
0.743 0.743 0.743
0.255 0.255 0.255
0.001 0.001 0.001
0.502 0.502 0.502
```

Most stable structure: 1)

1) ## CuSi2W (GGA-PBE)

Data for crystalline CuSi2W at its relaxed geometry.

POSCAR file:
```
CuSi2W
1.0
2.672 0.021 0.000
-0.161 2.667 0.000
0.000 0.000 7.879
Cu Si W
1 2 1
direct
0.500 0.500 0.761
0.000 0.000 0.983
0.500 0.500 0.251
0.000 0.000 0.505
```

2) ## CuSi2W (GGA-PBE)

Data for crystalline CuSi2W at its relaxed geometry.

POSCAR file:
```
CuSi2W
1.0
0.000 3.024 3.024
3.024 0.000 3.024
3.024 3.024 0.000
Si Cu W
2 1 1
direct
0.750 0.750 0.750
0.250 0.250 0.250
0.000 0.000 0.000
0.500 0.500 0.500
```

3) ## CuSi2W (GGA-PBE)

Data for crystalline CuSi2W at its relaxed geometry.

POSCAR file:
```
CuSi2W
1.0
4.868 0.006 0.000
2.200 4.342 0.000
-3.534 -2.174 2.546
W Si Cu
1 2 1
direct
0.500 0.500 0.000
0.000 0.000 0.000
0.250 0.750 0.500
0.750 0.250 0.500
```

4) ## CuSi2W (GGA-PBE)

Data for crystalline CuSi2W at its relaxed geometry.

POSCAR file:
```
CuSi2W
1.0
8.229 0.006 0.003
7.740 2.795 0.003
7.740 1.357 2.443
Cu Si W
1 2 1
direct
0.750 0.750 0.750
0.003 0.003 0.003
0.497 0.497 0.497
0.250 0.250 0.250
```

Most stable structure: 3)

1) ## CuSi2W (GGA-PBE)

Data for crystalline CuSi2W at its relaxed geometry.

POSCAR file:
```
CuSi2W
1.0
3.177 0.000 0.000
0.000 3.192 0.000
0.000 0.000 5.350
W Si Cu
1 2 1
direct
0.500 0.500 0.250
0.000 0.000 0.991
0.000 0.000 0.509
0.500 0.500 0.750
```

2) ## CuSi2W (GGA-PBE)

Data for crystalline CuSi2W at its relaxed geometry.

POSCAR file:
```
CuSi2W
1.0
-3.985 -1.218 1.035
-0.901 -4.163 0.537
-0.826 -1.529 3.926
Cu W Si
1 1 2
direct
0.500 0.500 0.500
0.750 0.750 0.750
0.250 0.250 0.250
0.000 0.000 0.000
```

Most stable structure: 1)